Computed, not measured: crystalline Al2HS3 at its relaxed geometry at the PBE level of DFT.

Cell lengths 10.784, 6.074, 6.194 Å; angles 90.00, 90.00, 90.00 degrees
Space group Cmcm (No. 63)
Symmetry-distinct sites (fractional):
Al 0.182 0.000 0.000 (multiplicity 8)
H 0.000 0.345 0.250 (multiplicity 4)
S 0.000 0.121 0.250 (multiplicity 4)
S 0.177 0.316 0.750 (multiplicity 8)

Properties
- crystal system = orthorhombic



Computed, not measured: crystalline Al3HS at its relaxed geometry at the PBE level of DFT.

Cell lengths 4.191, 4.191, 4.191 Å; angles 90.00, 90.00, 90.00 degrees
Space group Pm-3m (No. 221)
Symmetry-distinct sites (fractional):
Al 0.000 0.000 0.500 (multiplicity 3)
H 0.000 0.000 0.000 (multiplicity 1)
S 0.500 0.500 0.500 (multiplicity 1)

Properties
- crystal system = cubic



| no. | total magnetic moment (μB/cell) | raw total energy (eV per atom) |
| --- | --- | --- |
| 1 | 0.0 | -4.469 |
| 2 | 0.0 | -3.421 |